! ReSeIN2 GGA-PBEsol optimized geometry; values from VASP
! E	-23.95	eV per cell
! symmetry	P4/mmm
! calculated volume	90.9	Å³ per cell
! total magnetic moment	3.84	μB/cell
! formation energy from raw total energies	1162	kJ/mol of formula units
&SYSTEM
  ibrav = 0, nat = 5, ntyp = 4
/
ATOMIC_SPECIES
I 126.90 I.upf
Re 186.21 Re.upf
Se 78.96 Se.upf
N 14.01 N.upf
CELL_PARAMETERS angstrom
3.874 0.000 0.000
0.000 3.874 0.000
0.000 0.000 6.058
ATOMIC_POSITIONS angstrom
I 0.000 0.000 0.000
Re 1.937 1.937 3.029
Se 0.000 0.000 3.029
N 0.000 1.937 0.000
N 1.937 0.000 0.000